--- one ---
Compound: LiHfCo
Source: the Open Quantum Materials Database
Functional: PBE
Structure: optimized geometry Values from VASP.

```
&SYSTEM
  ibrav = 0, nat = 3, ntyp = 3
/
ATOMIC_SPECIES
Co 58.93 Co.upf
Hf 178.49 Hf.upf
Li 6.94 Li.upf
ATOMIC_POSITIONS angstrom
Co -0.368 -1.751 1.833
Hf 0.000 0.000 0.000
Li -1.105 -5.254 5.500
CELL_PARAMETERS angstrom
0.171 -4.080 0.911
1.167 -1.243 3.820
-2.811 -1.682 2.602
```

SG = F-43m
Magnetic moment = 0.0 μB/f.u.


--- two ---
Compound: LiHfCo
Source: the Open Quantum Materials Database
Functional: PBE
Structure: optimized geometry Values from VASP.

```
&SYSTEM
  ibrav = 0, nat = 3, ntyp = 3
/
ATOMIC_SPECIES
Co 58.93 Co.upf
Hf 178.49 Hf.upf
Li 6.94 Li.upf
ATOMIC_POSITIONS angstrom
Co -0.908 -2.253 0.212
Hf -2.725 -6.759 0.636
Li 0.000 0.000 0.000
CELL_PARAMETERS angstrom
0.218 -3.415 2.036
-3.298 -2.125 0.682
-0.554 -3.472 -1.870
```

SG = F-43m
Magnetic moment = 0.0 μB/f.u.


Bottom line: two, by a margin of 0.073 eV/atom.


--- one ---
Compound: LiHfCoPb
Source: the Open Quantum Materials Database
Functional: PBE
Structure: optimized geometry Values from VASP.

```
&SYSTEM
  ibrav = 0, nat = 4, ntyp = 4
/
ATOMIC_SPECIES
Co 58.93 Co.upf
Hf 178.49 Hf.upf
Li 6.94 Li.upf
Pb 207.20 Pb.upf
ATOMIC_POSITIONS angstrom
Co -6.226 -5.318 -2.068
Hf -2.075 -1.773 -0.689
Li -4.151 -3.545 -1.379
Pb 0.000 0.000 0.000
CELL_PARAMETERS angstrom
-2.177 -3.872 1.183
-4.529 -0.392 -0.685
-1.596 -2.826 -3.255
```

SG = F-43m
Magnetic moment = 0.0 μB/f.u.


--- two ---
Compound: LiHfCoPb
Source: the Open Quantum Materials Database
Functional: PBE
Structure: optimized geometry Values from VASP.

```
&SYSTEM
  ibrav = 0, nat = 4, ntyp = 4
/
ATOMIC_SPECIES
Co 58.93 Co.upf
Hf 178.49 Hf.upf
Li 6.94 Li.upf
Pb 207.20 Pb.upf
ATOMIC_POSITIONS angstrom
Co 4.780 4.780 4.780
Hf 3.187 3.187 3.187
Li 1.593 1.593 1.593
Pb 0.000 0.000 0.000
CELL_PARAMETERS angstrom
0.000 3.187 3.187
3.187 0.000 3.187
3.187 3.187 0.000
```

SG = F-43m
Magnetic moment = 0.0 μB/f.u.


Bottom line: two, by a margin of 0.484 eV/atom.


--- one ---
Compound: LiHfCoSn
Source: the Open Quantum Materials Database
Functional: PBE
Structure: optimized geometry Values from VASP.

```
&SYSTEM
  ibrav = 0, nat = 4, ntyp = 4
/
ATOMIC_SPECIES
Co 58.93 Co.upf
Hf 178.49 Hf.upf
Li 6.94 Li.upf
Sn 118.71 Sn.upf
ATOMIC_POSITIONS angstrom
Co 4.804 4.804 4.804
Hf 1.601 1.601 1.601
Li 3.203 3.203 3.203
Sn 0.000 0.000 0.000
CELL_PARAMETERS angstrom
0.000 3.203 3.203
3.203 0.000 3.203
3.203 3.203 0.000
```

SG = F-43m
Magnetic moment = 0.0 μB/f.u.


--- two ---
Compound: LiHfCoSn
Source: the Open Quantum Materials Database
Functional: PBE
Structure: optimized geometry Values from VASP.

```
&SYSTEM
  ibrav = 0, nat = 4, ntyp = 4
/
ATOMIC_SPECIES
Co 58.93 Co.upf
Hf 178.49 Hf.upf
Li 6.94 Li.upf
Sn 118.71 Sn.upf
ATOMIC_POSITIONS angstrom
Co 0.439 1.127 5.466
Hf 0.219 0.564 2.733
Li 0.658 1.691 8.198
Sn 0.000 0.000 0.000
CELL_PARAMETERS angstrom
1.562 2.995 3.079
-2.338 0.741 3.857
1.653 -1.482 3.995
```

SG = F-43m
Magnetic moment = 0.7 μB/f.u.


Bottom line: two, by a margin of 0.142 eV/atom.


--- one ---
Compound: LiHfZnCo
Source: the Open Quantum Materials Database
Functional: PBE
Structure: optimized geometry Values from VASP.

```
&SYSTEM
  ibrav = 0, nat = 4, ntyp = 4
/
ATOMIC_SPECIES
Co 58.93 Co.upf
Hf 178.49 Hf.upf
Li 6.94 Li.upf
Zn 65.41 Zn.upf
ATOMIC_POSITIONS angstrom
Co 4.075 -4.657 4.961
Hf 1.358 -1.552 1.654
Li 2.716 -3.105 3.307
Zn 0.000 0.000 0.000
CELL_PARAMETERS angstrom
3.213 -0.123 2.880
-0.288 -2.584 3.446
2.508 -3.502 0.288
```

SG = F-43m
Magnetic moment = 0.2 μB/f.u.


--- two ---
Compound: LiHfZnCo
Source: the Open Quantum Materials Database
Functional: PBE
Structure: optimized geometry Values from VASP.

```
&SYSTEM
  ibrav = 0, nat = 4, ntyp = 4
/
ATOMIC_SPECIES
Co 58.93 Co.upf
Hf 178.49 Hf.upf
Li 6.94 Li.upf
Zn 65.41 Zn.upf
ATOMIC_POSITIONS angstrom
Co 4.566 4.566 4.566
Hf 3.044 3.044 3.044
Li 1.522 1.522 1.522
Zn 0.000 0.000 0.000
CELL_PARAMETERS angstrom
0.000 3.044 3.044
3.044 0.000 3.044
3.044 3.044 0.000
```

SG = F-43m
Magnetic moment = 0.0 μB/f.u.


Bottom line: two, by a margin of 0.241 eV/atom.


--- one ---
Compound: HfMgCoPb
Source: the Open Quantum Materials Database
Functional: PBE
Structure: optimized geometry Values from VASP.

```
&SYSTEM
  ibrav = 0, nat = 4, ntyp = 4
/
ATOMIC_SPECIES
Co 58.93 Co.upf
Hf 178.49 Hf.upf
Mg 24.30 Mg.upf
Pb 207.20 Pb.upf
ATOMIC_POSITIONS angstrom
Co -6.501 -0.375 -5.812
Hf -2.167 -0.125 -1.937
Mg -4.334 -0.250 -3.875
Pb 0.000 0.000 0.000
CELL_PARAMETERS angstrom
-3.851 -2.427 -1.362
-3.758 2.306 -1.771
-1.060 -0.378 -4.616
```

SG = F-43m
Magnetic moment = 0.9 μB/f.u.


--- two ---
Compound: HfMgCoPb
Source: the Open Quantum Materials Database
Functional: PBE
Structure: optimized geometry Values from VASP.

```
&SYSTEM
  ibrav = 0, nat = 4, ntyp = 4
/
ATOMIC_SPECIES
Co 58.93 Co.upf
Hf 178.49 Hf.upf
Mg 24.30 Mg.upf
Pb 207.20 Pb.upf
ATOMIC_POSITIONS angstrom
Co -5.830 -4.215 4.656
Hf -3.886 -2.810 3.104
Mg -1.943 -1.405 1.552
Pb 0.000 0.000 0.000
CELL_PARAMETERS angstrom
-0.898 -1.901 4.164
-4.316 0.171 1.759
-2.558 -3.890 0.285
```

SG = F-43m
Magnetic moment = 0.0 μB/f.u.


Bottom line: two, by a margin of 0.175 eV/atom.


--- one ---
Compound: HfMgCoSb
Source: the Open Quantum Materials Database
Functional: PBE
Structure: optimized geometry Values from VASP.

```
&SYSTEM
  ibrav = 0, nat = 4, ntyp = 4
/
ATOMIC_SPECIES
Co 58.93 Co.upf
Hf 178.49 Hf.upf
Mg 24.30 Mg.upf
Sb 121.76 Sb.upf
ATOMIC_POSITIONS angstrom
Co 5.122 -6.574 -2.049
Hf 3.415 -4.382 -1.366
Mg 1.707 -2.191 -0.683
Sb 0.000 0.000 0.000
CELL_PARAMETERS angstrom
3.922 -1.232 -2.218
2.671 -3.431 1.708
0.237 -4.102 -2.222
```

SG = F-43m
Magnetic moment = 0.0 μB/f.u.


--- two ---
Compound: HfMgCoSb
Source: the Open Quantum Materials Database
Functional: PBE
Structure: optimized geometry Values from VASP.

```
&SYSTEM
  ibrav = 0, nat = 4, ntyp = 4
/
ATOMIC_SPECIES
Co 58.93 Co.upf
Hf 178.49 Hf.upf
Mg 24.30 Mg.upf
Sb 121.76 Sb.upf
ATOMIC_POSITIONS angstrom
Co -1.583 1.653 8.318
Hf -0.528 0.551 2.773
Mg -1.055 1.102 5.545
Sb 0.000 0.000 0.000
CELL_PARAMETERS angstrom
1.862 1.549 4.023
-2.612 2.522 2.979
-1.361 -1.866 4.089
```

SG = F-43m
Magnetic moment = 1.2 μB/f.u.


Bottom line: one, by a margin of 0.092 eV/atom.


--- one ---
Compound: HfMgCoSi
Source: the Open Quantum Materials Database
Functional: PBE
Structure: optimized geometry Values from VASP.

```
&SYSTEM
  ibrav = 0, nat = 4, ntyp = 4
/
ATOMIC_SPECIES
Co 58.93 Co.upf
Hf 178.49 Hf.upf
Mg 24.30 Mg.upf
Si 28.09 Si.upf
ATOMIC_POSITIONS angstrom
Co -5.857 -2.545 4.903
Hf -3.905 -1.697 3.269
Mg -1.952 -0.848 1.634
Si 0.000 0.000 0.000
CELL_PARAMETERS angstrom
-1.071 -2.936 3.072
-2.662 1.142 3.289
-4.077 -1.599 0.176
```

SG = F-43m
Magnetic moment = 0.0 μB/f.u.


--- two ---
Compound: HfMgCoSi
Source: the Open Quantum Materials Database
Functional: PBE
Structure: optimized geometry Values from VASP.

```
&SYSTEM
  ibrav = 0, nat = 4, ntyp = 4
/
ATOMIC_SPECIES
Co 58.93 Co.upf
Hf 178.49 Hf.upf
Mg 24.30 Mg.upf
Si 28.09 Si.upf
ATOMIC_POSITIONS angstrom
Co 0.738 -3.486 7.297
Hf 0.246 -1.162 2.432
Mg 0.492 -2.324 4.865
Si 0.000 0.000 0.000
CELL_PARAMETERS angstrom
2.597 -0.423 3.552
-1.798 -0.371 4.021
0.184 -3.854 2.157
```

SG = F-43m
Magnetic moment = 1.0 μB/f.u.


Bottom line: one, by a margin of 0.102 eV/atom.


--- one ---
Compound: HfMgTlCo
Source: the Open Quantum Materials Database
Functional: PBE
Structure: optimized geometry Values from VASP.

```
&SYSTEM
  ibrav = 0, nat = 4, ntyp = 4
/
ATOMIC_SPECIES
Co 58.93 Co.upf
Hf 178.49 Hf.upf
Mg 24.30 Mg.upf
Tl 204.38 Tl.upf
ATOMIC_POSITIONS angstrom
Co 0.145 -2.250 -1.709
Hf 0.000 0.000 0.000
Mg 0.434 -6.749 -5.127
Tl 0.290 -4.499 -3.418
CELL_PARAMETERS angstrom
2.071 -4.067 -0.715
-2.382 -3.518 -1.815
0.890 -1.414 -4.307
```

SG = F-43m
Magnetic moment = 0.0 μB/f.u.


--- two ---
Compound: HfMgTlCo
Source: the Open Quantum Materials Database
Functional: PBE
Structure: optimized geometry Values from VASP.

```
&SYSTEM
  ibrav = 0, nat = 4, ntyp = 4
/
ATOMIC_SPECIES
Co 58.93 Co.upf
Hf 178.49 Hf.upf
Mg 24.30 Mg.upf
Tl 204.38 Tl.upf
ATOMIC_POSITIONS angstrom
Co 0.000 0.000 0.000
Hf 1.660 1.660 1.660
Mg 4.979 4.979 4.979
Tl 3.319 3.319 3.319
CELL_PARAMETERS angstrom
0.000 3.319 3.319
3.319 0.000 3.319
3.319 3.319 0.000
```

SG = F-43m
Magnetic moment = 0.6 μB/f.u.


Bottom line: one, by a margin of 0.019 eV/atom.